This record from the Alexandria database describes a relaxed structure of MgSbPdN2. The functional is PBE.

Cell: 3.974 6.030 3.974 Å, 90.00 90.00 90.00°
Element x y z (fractional)
1 Sb 0.000 0.500 0.000
2 Mg 0.000 0.000 0.000
3 Pd 0.500 0.500 0.500
4 N 0.000 0.000 0.500
5 N 0.500 0.000 0.000

Properties
**Crystal system**: tetragonal
**Uncorrected formation energy**: 1.3579 eV per atom
**Polymorph energy (0 for the lowest one)**: 0.113 eV per atom
**Energy**: -4.15 eV/atom